LaErAlAu: optimized geometry, PBE.

abc: 5.2544 5.2544 5.2544
angles: 60.00 60.00 60.00
Fractional positions:
La (0.0000, 0.0000, 0.0000)
Er (0.5000, 0.5000, 0.5000)
Al (0.7500, 0.7500, 0.7500)
Au (0.2500, 0.2500, 0.2500)

Computed properties:
spin magnetization = 0.000 μB per atom
formation energy = -0.515 eV per atom